Crystalline DyP2Rh5Au at its relaxed geometry. Source: Alexandria via LeMat-Bulk, functional PBE.

Output
**Formation enthalpy at 0 K**: -0.549 eV per atom
**DOS at the Fermi energy**: 5.95 states/eV/cell
**Calculated volume**: 15.9 Å³/atom
**Spin magnetization**: 0.00 μB/cell

Cell lengths 4.1276, 4.1276, 8.3871 Å; angles 90.00, 90.00, 90.00 degrees
Fractional coordinates of all 9 atoms:
Dy: 0.0000 0.0000 0.0000
P: 0.5000 0.5000 0.3657
P: 0.5000 0.5000 0.6343
Rh: 0.0000 0.5000 0.2498
Rh: 0.0000 0.5000 0.7502
Rh: 0.5000 0.0000 0.2498
Rh: 0.5000 0.0000 0.7502
Rh: 0.5000 0.5000 0.0000
Au: 0.0000 0.0000 0.5000